No. 1
Compound: Pa2CuSi
Source: the Alexandria database
Functional: PBE
Structure: optimized geometry

Results
- Distance to the lowest polymorph of the same formula: 584 meV per atom
- Energy relative to the elements, uncorrected: 1.48 eV per formula unit
- Crystal system: trigonal
- Volume: 21.06 Å³/atom

```
Pa2CuSi
1.0
3.0153 0.0000 0.0000
1.5076 2.6113 0.0000
1.5076 0.8704 10.6978
Si Pa Cu
1 2 1
Cartesian
3.0153 1.7409 5.3489
1.5076 0.8704 7.7848
4.5229 2.6113 2.9129
0.0000 0.0000 0.0000
```

***

No. 2
Compound: TiSbP2O
Source: the Alexandria database
Functional: PBE
Structure: optimized geometry

Results
- Distance to the lowest polymorph of the same formula: 902 meV per atom
- Energy relative to the elements, uncorrected: 1.68 eV per formula unit
- Crystal system: tetragonal
- Volume: 19.44 Å³/atom

```
TiSbP2O
1.0
5.0067 0.0000 0.0000
0.0000 5.0067 0.0000
0.0000 0.0000 3.8780
Sb O P Ti
1 1 2 1
Cartesian
0.0000 0.0000 0.0000
0.0000 0.0000 1.9390
0.0000 2.5034 0.0000
2.5034 0.0000 0.0000
2.5034 2.5034 1.9390
```

***

No. 3
Compound: La5PrNd2Ho
Source: the Alexandria database
Functional: PBE
Structure: optimized geometry

Results
- Formation enthalpy at 0 K: 0.259 eV/atom
- Crystal system: tetragonal
- Volume: 36.18 Å³/atom

```
La5PrNd2Ho
1.0
-1.9549 -8.6709 -2.2188
8.3943 -0.9883 -3.5338
-0.5897 2.4690 9.7839
La Pr Nd Ho
10 2 4 2
Cartesian
1.6307 -7.8066 -0.8625
-0.4233 -4.0234 5.0756
4.2190 0.6165 4.8937
-0.1398 0.3938 6.4772
3.9355 -3.8007 3.4921
5.9895 -7.5840 -2.4459
1.9142 -3.3895 0.5391
6.2730 -3.1668 -1.0444
3.2197 -4.8296 -2.8763
0.0000 0.0000 0.0000
1.3150 -1.1803 3.4538
4.5347 -6.0099 0.5774
3.0081 -1.3768 -1.6158
-0.2376 -5.4452 -1.7704
6.6770 -4.2140 -3.9823
3.4312 -8.2824 -4.1368
5.5122 -1.6744 1.6869
0.3375 -5.5157 2.3443
```

***

No. 4
Compound: Na2NbFeTe
Source: the Alexandria database
Functional: PBE
Structure: optimized geometry

Results
- Energy relative to the elements, uncorrected: 5.34 eV per formula unit
- Crystal system: tetragonal
- Volume: 29.72 Å³/atom

```
Na2NbFeTe
1.0
5.3030 0.0000 0.0000
0.0000 5.2837 0.0000
0.0000 0.0000 5.3030
Na Nb Te Fe
2 1 1 1
Cartesian
0.0000 0.0000 2.6515
2.6515 0.0000 0.0000
0.0000 2.6419 0.0000
0.0000 0.0000 0.0000
2.6515 2.6419 2.6515
```

***

The following calculated density values (in kg/m³) correspond, in order, to the records above: 10916; 4229; 6573; 3602.